No. 1
# CdO2 | Alexandria | PBE-GGA | relaxed
# E_form (uncorrected)   -369.5 meV per atom
# Calculated volume   77.70 Å³ per cell
data_CdO2
_cell_length_a 5.624
_cell_length_b 4.909
_cell_length_c 3.825
_cell_angle_alpha 90.00
_cell_angle_beta 132.64
_cell_angle_gamma 90.00
_symmetry_space_group_name_H-M 'C 1 2/m 1'
_symmetry_Int_Tables_number 12
loop_
_symmetry_equiv_pos_as_xyz
'x,y,z'
'-x,-y,-z'
'-x,y,-z'
'x,-y,z'
'x+1/2,y+1/2,z'
'-x+1/2,-y+1/2,-z'
'-x+1/2,y+1/2,-z'
'x+1/2,-y+1/2,z'
loop_
_atom_site_label
_atom_site_fract_x
_atom_site_fract_y
_atom_site_fract_z
Cd1 0.000 0.000 0.000
O1 0.183 0.500 0.183



No. 2
# Ca3Pr3Ni4 | Alexandria | PBE-GGA | relaxed
# Formation energy from the elements   -0.1643 eV/atom
# Calculated volume   491.04 Å³ per cell
data_Ca3Pr3Ni4
_cell_length_a 4.088
_cell_length_b 10.791
_cell_length_c 11.130
_cell_angle_alpha 90.00
_cell_angle_beta 90.00
_cell_angle_gamma 90.00
_symmetry_space_group_name_H-M 'A m m 2'
_symmetry_Int_Tables_number 38
loop_
_symmetry_equiv_pos_as_xyz
'x,y,z'
'-x,-y,z'
'-x,y,z'
'x,-y,z'
'x,y+1/2,z+1/2'
'-x,-y+1/2,z+1/2'
'-x,y+1/2,z+1/2'
'x,-y+1/2,z+1/2'
loop_
_atom_site_label
_atom_site_fract_x
_atom_site_fract_y
_atom_site_fract_z
Ca1 0.000 0.000 0.000
Ca2 0.500 0.246 0.084
Pr1 0.000 0.000 0.670
Pr2 0.000 0.168 0.335
Ni1 0.500 0.000 0.228
Ni2 0.500 0.000 0.452
Ni3 0.500 0.116 0.827



No. 3
# AlTlTc2 | Alexandria | PBE-GGA | relaxed
# Formation energy from the elements   0.3522 eV/atom
# Calculated volume   131.98 Å³ per cell
data_AlTlTc2
_cell_length_a 3.170
_cell_length_b 4.496
_cell_length_c 9.260
_cell_angle_alpha 90.00
_cell_angle_beta 90.00
_cell_angle_gamma 90.00
_symmetry_space_group_name_H-M 'I m m 2'
_symmetry_Int_Tables_number 44
loop_
_symmetry_equiv_pos_as_xyz
'x,y,z'
'-x,-y,z'
'-x,y,z'
'x,-y,z'
'x+1/2,y+1/2,z+1/2'
'-x+1/2,-y+1/2,z+1/2'
'-x+1/2,y+1/2,z+1/2'
'x+1/2,-y+1/2,z+1/2'
loop_
_atom_site_label
_atom_site_fract_x
_atom_site_fract_y
_atom_site_fract_z
Al1 0.000 0.000 0.000
Tl1 0.000 0.500 0.233
Tc1 0.000 0.000 0.465
Tc2 0.000 0.500 0.727



No. 4
# TaBe2Ir | Alexandria | PBE-GGA | relaxed
# Formation energy from the elements   -0.2434 eV/atom
# Calculated volume   98.64 Å³ per cell
data_TaBe2Ir
_cell_length_a 2.891
_cell_length_b 4.106
_cell_length_c 8.311
_cell_angle_alpha 90.00
_cell_angle_beta 90.00
_cell_angle_gamma 90.00
_symmetry_space_group_name_H-M 'I m m 2'
_symmetry_Int_Tables_number 44
loop_
_symmetry_equiv_pos_as_xyz
'x,y,z'
'-x,-y,z'
'-x,y,z'
'x,-y,z'
'x+1/2,y+1/2,z+1/2'
'-x+1/2,-y+1/2,z+1/2'
'-x+1/2,y+1/2,z+1/2'
'x+1/2,-y+1/2,z+1/2'
loop_
_atom_site_label
_atom_site_fract_x
_atom_site_fract_y
_atom_site_fract_z
Ta1 0.000 0.000 0.000
Be1 0.000 0.000 0.471
Be2 0.000 0.500 0.768
Ir1 0.000 0.500 0.219



No. 5
# Ce4Pr3Sn4 | Alexandria | PBE-GGA | relaxed
# Formation energy from the elements   -0.4632 eV/atom
# Calculated volume   677.30 Å³ per cell
data_Ce4Pr3Sn4
_cell_length_a 3.999
_cell_length_b 10.513
_cell_length_c 16.110
_cell_angle_alpha 90.00
_cell_angle_beta 90.00
_cell_angle_gamma 90.00
_symmetry_space_group_name_H-M 'I m m m'
_symmetry_Int_Tables_number 71
_symmetry_space_group_name_Hall '-I 2 2'
loop_
_atom_site_label
_atom_site_fract_x
_atom_site_fract_y
_atom_site_fract_z
Ce1 0.000 0.228 0.194
Pr1 0.000 0.000 0.392
Pr2 0.000 0.500 0.500
Sn1 0.000 0.279 0.000
Sn2 0.000 0.500 0.276



No. 6
# MnSn3W | Alexandria | PBE-GGA | relaxed
# Formation energy from the elements   1.1478 eV/atom
# Calculated volume   119.98 Å³ per cell
data_MnSn3W
_cell_length_a 4.932
_cell_length_b 4.932
_cell_length_c 4.932
_cell_angle_alpha 90.00
_cell_angle_beta 90.00
_cell_angle_gamma 90.00
_symmetry_space_group_name_H-M 'P m -3 m'
_symmetry_Int_Tables_number 221
_symmetry_space_group_name_Hall '-P 4 2 3'
loop_
_atom_site_label
_atom_site_fract_x
_atom_site_fract_y
_atom_site_fract_z
Mn1 0.000 0.000 0.000
Sn1 0.000 0.000 0.500
W1 0.500 0.500 0.500



No. 7
# Pr5GaSn4 | Alexandria | PBE-GGA | relaxed
# Formation energy from the elements   -0.4038 eV/atom
# Calculated volume   629.94 Å³ per cell
data_Pr5GaSn4
_cell_length_a 17.828
_cell_length_b 4.374
_cell_length_c 8.252
_cell_angle_alpha 90.00
_cell_angle_beta 101.77
_cell_angle_gamma 90.00
_symmetry_space_group_name_H-M 'C 1 2/m 1'
_symmetry_Int_Tables_number 12
loop_
_symmetry_equiv_pos_as_xyz
'x,y,z'
'-x,-y,-z'
'-x,y,-z'
'x,-y,z'
'x+1/2,y+1/2,z'
'-x+1/2,-y+1/2,-z'
'-x+1/2,y+1/2,-z'
'x+1/2,-y+1/2,z'
loop_
_atom_site_label
_atom_site_fract_x
_atom_site_fract_y
_atom_site_fract_z
Pr1 0.000 0.000 0.000
Pr2 0.121 0.500 0.680
Pr3 0.209 0.500 0.152
Ga1 0.000 0.000 0.500
Sn1 0.055 0.500 0.289
Sn2 0.183 0.000 0.430



No. 8
# Hf2CdCuIr | Alexandria | PBE-GGA | relaxed
# Formation energy from the elements   0.5176 eV/atom
# Calculated volume   104.44 Å³ per cell
data_Hf2CdCuIr
_cell_length_a 4.771
_cell_length_b 4.771
_cell_length_c 4.588
_cell_angle_alpha 90.00
_cell_angle_beta 90.00
_cell_angle_gamma 90.00
_symmetry_space_group_name_H-M 'P 4/m m m'
_symmetry_Int_Tables_number 123
_symmetry_space_group_name_Hall '-P 4 2'
loop_
_atom_site_label
_atom_site_fract_x
_atom_site_fract_y
_atom_site_fract_z
Hf1 0.000 0.500 0.000
Cd1 0.000 0.000 0.500
Cu1 0.500 0.500 0.000
Ir1 0.500 0.500 0.500



No. 9
# Al2InAg | Alexandria | PBE-GGA | relaxed
# Formation energy from the elements   0.0966 eV/atom
# Calculated volume   155.01 Å³ per cell
data_Al2InAg
_cell_length_a 10.267
_cell_length_b 3.157
_cell_length_c 4.796
_cell_angle_alpha 90.00
_cell_angle_beta 94.31
_cell_angle_gamma 90.00
_symmetry_space_group_name_H-M 'C 1 2/m 1'
_symmetry_Int_Tables_number 12
loop_
_symmetry_equiv_pos_as_xyz
'x,y,z'
'-x,-y,-z'
'-x,y,-z'
'x,-y,z'
'x+1/2,y+1/2,z'
'-x+1/2,-y+1/2,-z'
'-x+1/2,y+1/2,-z'
'x+1/2,-y+1/2,z'
loop_
_atom_site_label
_atom_site_fract_x
_atom_site_fract_y
_atom_site_fract_z
Al1 0.249 0.000 0.243
In1 0.000 0.000 0.500
Ag1 0.000 0.500 0.000



No. 10
# TlAs2Ru | Alexandria | PBE-GGA | relaxed
# Formation energy from the elements   0.5175 eV/atom
# Calculated volume   152.48 Å³ per cell
data_TlAs2Ru
_cell_length_a 5.594
_cell_length_b 7.927
_cell_length_c 3.438
_cell_angle_alpha 90.00
_cell_angle_beta 90.32
_cell_angle_gamma 90.00
_symmetry_space_group_name_H-M 'C 1 2/m 1'
_symmetry_Int_Tables_number 12
loop_
_symmetry_equiv_pos_as_xyz
'x,y,z'
'-x,-y,-z'
'-x,y,-z'
'x,-y,z'
'x+1/2,y+1/2,z'
'-x+1/2,-y+1/2,-z'
'-x+1/2,y+1/2,-z'
'x+1/2,-y+1/2,z'
loop_
_atom_site_label
_atom_site_fract_x
_atom_site_fract_y
_atom_site_fract_z
Tl1 0.000 0.000 0.000
As1 0.250 0.250 0.500
Ru1 0.000 0.500 0.000



No. 11
# Rb3In2H3Au2 | Alexandria | PBE-GGA | relaxed
# Calculated volume   537.50 Å³ per cell
# E_tot   -52.43 eV/cell
data_Rb3In2H3Au2
_cell_length_a 4.609
_cell_length_b 4.609
_cell_length_c 25.306
_cell_angle_alpha 90.00
_cell_angle_beta 90.00
_cell_angle_gamma 90.00
_symmetry_space_group_name_H-M 'I 4/m m m'
_symmetry_Int_Tables_number 139
_symmetry_space_group_name_Hall '-I 4 2'
loop_
_atom_site_label
_atom_site_fract_x
_atom_site_fract_y
_atom_site_fract_z
Rb1 0.000 0.000 0.000
Rb2 0.000 0.000 0.380
In1 0.000 0.000 0.189
H1 0.000 0.000 0.111
H2 0.000 0.000 0.500
Au1 0.000 0.500 0.250



No. 12
# OsAu2Cl8 | Alexandria | PBE-GGA | relaxed
# E_form (uncorrected)   -254.1 meV per atom
# Calculated volume   342.93 Å³ per cell
data_OsAu2Cl8
_cell_length_a 6.745
_cell_length_b 7.411
_cell_length_c 7.564
_cell_angle_alpha 94.11
_cell_angle_beta 114.50
_cell_angle_gamma 90.20
_symmetry_space_group_name_H-M 'P -1'
_symmetry_Int_Tables_number 2
loop_
_symmetry_equiv_pos_as_xyz
'x,y,z'
'-x,-y,-z'
loop_
_atom_site_label
_atom_site_fract_x
_atom_site_fract_y
_atom_site_fract_z
Os1 0.000 0.000 0.000
Au1 0.466 0.387 0.287
Cl1 0.155 0.018 0.334
Cl2 0.178 0.277 0.992
Cl3 0.211 0.499 0.471
Cl4 0.290 0.838 0.999



No. 13
# TlSn12 | Alexandria | PBE-GGA | relaxed
# Formation energy from the elements   0.3086 eV/atom
# Calculated volume   2071.92 Å³ per cell
data_TlSn12
_cell_length_a 12.748
_cell_length_b 12.748
_cell_length_c 12.748
_cell_angle_alpha 90.00
_cell_angle_beta 90.00
_cell_angle_gamma 90.00
_symmetry_space_group_name_H-M 'F m -3 m'
_symmetry_Int_Tables_number 225
_symmetry_space_group_name_Hall '-F 4 2 3'
loop_
_atom_site_label
_atom_site_fract_x
_atom_site_fract_y
_atom_site_fract_z
Tl1 0.000 0.000 0.000
Sn1 0.000 0.170 0.330



No. 14
# LuCd3 | Alexandria | PBE-GGA | relaxed
# Formation energy from the elements   -0.2025 eV/atom
# Calculated volume   93.38 Å³ per cell
data_LuCd3
_cell_length_a 4.441
_cell_length_b 4.441
_cell_length_c 4.735
_cell_angle_alpha 90.00
_cell_angle_beta 90.00
_cell_angle_gamma 90.00
_symmetry_space_group_name_H-M 'P 4/m m m'
_symmetry_Int_Tables_number 123
_symmetry_space_group_name_Hall '-P 4 2'
loop_
_atom_site_label
_atom_site_fract_x
_atom_site_fract_y
_atom_site_fract_z
Lu1 0.000 0.000 0.000
Cd1 0.000 0.500 0.500
Cd2 0.500 0.500 0.000



No. 15
# Be2NCl | Alexandria | PBE-GGA | relaxed
# E_form (uncorrected)   -817.7 meV per atom
# Calculated volume   120.90 Å³ per cell
data_Be2NCl
_cell_length_a 2.9193
_cell_length_b 2.9193
_cell_length_c 16.3801
_cell_angle_alpha 90.00
_cell_angle_beta 90.00
_cell_angle_gamma 120.00
_symmetry_space_group_name_H-M 'R -3 m'
_symmetry_Int_Tables_number 166
_symmetry_space_group_name_Hall '-R 3 2"'
loop_
_atom_site_label
_atom_site_fract_x
_atom_site_fract_y
_atom_site_fract_z
Be1 0.0000 0.0000 0.1218
N1 0.0000 0.0000 0.5000
Cl1 0.0000 0.0000 0.0000



No. 16
# SrMo2Au | Alexandria | PBE-GGA | relaxed
# Formation energy from the elements   0.7382 eV/atom
# Calculated volume   80.57 Å³ per cell
data_SrMo2Au
_cell_length_a 3.177
_cell_length_b 4.740
_cell_length_c 5.349
_cell_angle_alpha 90.00
_cell_angle_beta 90.00
_cell_angle_gamma 90.00
_symmetry_space_group_name_H-M 'P m m m'
_symmetry_Int_Tables_number 47
loop_
_symmetry_equiv_pos_as_xyz
'x,y,z'
'-x,-y,-z'
'-x,-y,z'
'x,y,-z'
'x,-y,-z'
'-x,y,z'
'-x,y,-z'
'x,-y,z'
loop_
_atom_site_label
_atom_site_fract_x
_atom_site_fract_y
_atom_site_fract_z
Sr1 0.000 0.000 0.000
Mo1 0.000 0.500 0.500
Mo2 0.500 0.000 0.500
Au1 0.500 0.500 0.000



No. 17
# Ce2NdHo | Alexandria | PBE-GGA | relaxed
# Formation energy from the elements   0.2650 eV/atom
# Calculated volume   518.81 Å³ per cell
data_Ce2NdHo
_cell_length_a 8.035
_cell_length_b 8.035
_cell_length_c 8.035
_cell_angle_alpha 90.00
_cell_angle_beta 90.00
_cell_angle_gamma 90.00
_symmetry_space_group_name_H-M 'F m -3 m'
_symmetry_Int_Tables_number 225
_symmetry_space_group_name_Hall '-F 4 2 3'
loop_
_atom_site_label
_atom_site_fract_x
_atom_site_fract_y
_atom_site_fract_z
Ce1 0.250 0.250 0.250
Nd1 0.000 0.000 0.000
Ho1 0.000 0.000 0.500



No. 18
# Be2SnBi | Alexandria | PBE-GGA | relaxed
# Formation energy from the elements   0.7410 eV/atom
# Calculated volume   315.24 Å³ per cell
data_Be2SnBi
_cell_length_a 6.806
_cell_length_b 6.806
_cell_length_c 6.806
_cell_angle_alpha 90.00
_cell_angle_beta 90.00
_cell_angle_gamma 90.00
_symmetry_space_group_name_H-M 'F m -3 m'
_symmetry_Int_Tables_number 225
_symmetry_space_group_name_Hall '-F 4 2 3'
loop_
_atom_site_label
_atom_site_fract_x
_atom_site_fract_y
_atom_site_fract_z
Be1 0.250 0.250 0.250
Sn1 0.000 0.000 0.000
Bi1 0.000 0.000 0.500



No. 19
# Pa2Al2Zn | Alexandria | PBE-GGA | relaxed
# Formation energy from the elements   -0.1513 eV/atom
# Calculated volume   200.72 Å³ per cell
data_Pa2Al2Zn
_cell_length_a 4.675
_cell_length_b 14.076
_cell_length_c 3.051
_cell_angle_alpha 90.00
_cell_angle_beta 90.00
_cell_angle_gamma 90.00
_symmetry_space_group_name_H-M 'C m m m'
_symmetry_Int_Tables_number 65
_symmetry_space_group_name_Hall '-C 2 2'
loop_
_atom_site_label
_atom_site_fract_x
_atom_site_fract_y
_atom_site_fract_z
Pa1 0.000 0.103 0.000
Al1 0.000 0.298 0.500
Zn1 0.000 0.500 0.500



No. 20
# Te8AsAu2 | Alexandria | PBE-GGA | relaxed
# E_form (uncorrected)   121.2 meV per atom
# Calculated volume   678.06 Å³ per cell
data_Te8AsAu2
_cell_length_a 11.506
_cell_length_b 7.783
_cell_length_c 8.159
_cell_angle_alpha 90.00
_cell_angle_beta 111.88
_cell_angle_gamma 90.00
_symmetry_space_group_name_H-M 'C 1 2/m 1'
_symmetry_Int_Tables_number 12
loop_
_symmetry_equiv_pos_as_xyz
'x,y,z'
'-x,-y,-z'
'-x,y,-z'
'x,-y,z'
'x+1/2,y+1/2,z'
'-x+1/2,-y+1/2,-z'
'-x+1/2,y+1/2,-z'
'x+1/2,-y+1/2,z'
loop_
_atom_site_label
_atom_site_fract_x
_atom_site_fract_y
_atom_site_fract_z
Te1 0.096 0.000 0.296
Te2 0.120 0.244 0.853
Te3 0.203 0.500 0.341
As1 0.000 0.500 0.000
Au1 0.127 0.500 0.617